No. 1
Density functional theory data (meta-GGA SCAN) for a crystal of Sc5Pb relaxed with PBEsol.

Values from the calculation:
Total magnetization: 0.00 μB/f.u.
Raw total energy: -24.704 eV/atom
Space group: Amm2 (38)

```
Sc5Pb
1.0
3.3329 0.0000 0.0000
0.0000 5.0203 0.0000
-1.6665 0.0000 8.3252
Pb Sc
1 5
direct
0.0005 0.0000 0.0010 Pb
0.3281 0.0000 0.6562 Sc
0.6652 0.0000 0.3304 Sc
0.4512 0.5000 0.9024 Sc
0.7749 0.5000 0.5499 Sc
0.1133 0.5000 0.2266 Sc
```

---

No. 2
Density functional theory data (meta-GGA SCAN) for a crystal of CdOsPb2 relaxed with PBEsol.

Values from the calculation:
Total magnetization: 0.00 μB/f.u.
Raw total energy: -62.895 eV/atom
Space group: P4/mmm (123)

```
CdOsPb2
1.0
3.2469 0.0000 0.0000
0.0000 3.2469 0.0000
0.0000 0.0000 8.7549
Cd Os Pb
1 1 2
direct
0.5000 0.5000 0.0000 Cd
0.5000 0.5000 0.5000 Os
0.0000 0.0000 0.6991 Pb
0.0000 0.0000 0.3009 Pb
```

---

No. 3
Density functional theory data (meta-GGA SCAN) for a crystal of FeW2SCl relaxed with PBEsol.

Values from the calculation:
Formation energy without anion corrections: 1.3768 eV/atom
Total magnetization: 1.59 μB/f.u.
Space group: P4/mmm (123)

```
FeW2SCl
1.0
4.0030 0.0000 0.0000
0.0000 4.4859 0.0000
0.0000 0.0000 4.4859
S Fe W Cl
1 1 2 1
direct
0.0000 0.0000 0.0000 S
0.5000 0.0000 0.0000 Fe
0.0000 0.0000 0.5000 W
0.0000 0.5000 0.0000 W
0.5000 0.5000 0.5000 Cl
```

---

No. 4
Density functional theory data (meta-GGA SCAN) for a crystal of Al3GaRu relaxed with PBEsol.

Values from the calculation:
Total magnetization: 0.00 μB/f.u.
Raw total energy: -14.891 eV/atom
Space group: Pm-3m (221)

```
Al3GaRu
1.0
4.6890 0.0000 0.0000
0.0000 4.6890 0.0000
0.0000 0.0000 4.6890
Ru Al Ga
1 3 1
direct
0.0000 0.0000 0.0000 Ru
0.0000 0.5000 0.0000 Al
0.0000 0.0000 0.5000 Al
0.5000 0.0000 0.0000 Al
0.5000 0.5000 0.5000 Ga
```

---

No. 5
Density functional theory data (meta-GGA SCAN) for a crystal of Si2Pd9 relaxed with PBEsol.

Values from the calculation:
Formation energy without anion corrections: -0.4964 eV/atom
Total magnetization: 0.00 μB/f.u.
Space group: Pnma (62)

```
Si2Pd9
1.0
7.3874 0.0000 0.0000
0.0000 9.0160 0.0000
0.0000 0.0000 9.3870
Si Pd
8 36
direct
0.2500 0.3669 0.2120 Si
0.7500 0.6331 0.7880 Si
0.2500 0.8669 0.2880 Si
0.7500 0.1331 0.7120 Si
0.2500 0.2271 0.8214 Si
0.7500 0.7729 0.1786 Si
0.2500 0.7271 0.6786 Si
0.7500 0.2729 0.3214 Si
0.0653 0.1031 0.3186 Pd
0.5653 0.8969 0.6814 Pd
0.4347 0.6031 0.1814 Pd
0.9347 0.3969 0.8186 Pd
0.9347 0.8969 0.6814 Pd
0.4347 0.1031 0.3186 Pd
0.5653 0.3969 0.8186 Pd
0.0653 0.6031 0.1814 Pd
0.0564 0.3886 0.4068 Pd
0.5564 0.6114 0.5932 Pd
0.4436 0.8886 0.0932 Pd
0.9436 0.1114 0.9068 Pd
0.9436 0.6114 0.5932 Pd
0.4436 0.3886 0.4068 Pd
0.5564 0.1114 0.9068 Pd
0.0564 0.8886 0.0932 Pd
0.0582 0.1820 0.6199 Pd
0.5582 0.8180 0.3801 Pd
0.4418 0.6820 0.8801 Pd
0.9418 0.3180 0.1199 Pd
0.9418 0.8180 0.3801 Pd
0.4418 0.1820 0.6199 Pd
0.5582 0.3180 0.1199 Pd
0.0582 0.6820 0.8801 Pd
0.2500 0.1477 0.0678 Pd
0.7500 0.8523 0.9322 Pd
0.2500 0.6477 0.4322 Pd
0.7500 0.3523 0.5678 Pd
0.2500 0.4485 0.6640 Pd
0.7500 0.5515 0.3360 Pd
0.2500 0.9485 0.8360 Pd
0.7500 0.0515 0.1640 Pd
0.2500 0.4422 0.9702 Pd
0.7500 0.5578 0.0298 Pd
0.2500 0.9422 0.5298 Pd
0.7500 0.0578 0.4702 Pd
```

---

No. 6
Density functional theory data (meta-GGA SCAN) for a crystal of BeSi2W relaxed with PBEsol.

Values from the calculation:
Formation energy without anion corrections: 0.3469 eV/atom
Total magnetization: 0.00 μB/f.u.
Space group: C2/m (12)

```
BeSi2W
1.0
-0.1628 2.4063 -1.3278
-4.5708 -0.8003 -0.0072
2.0117 1.1922 4.3269
Be Si W
1 2 1
direct
0.5000 0.5000 0.0000 Be
0.0000 0.0000 0.5000 Si
0.5000 0.5000 0.5000 Si
0.0000 0.0000 0.0000 W
```

---

No. 7
Density functional theory data (meta-GGA SCAN) for a crystal of BaSr2Zn relaxed with PBEsol.

Values from the calculation:
Total magnetization: 0.43 μB/f.u.
Raw total energy: -24.418 eV/atom
Space group: Cm (8)

```
BaSr2Zn
1.0
4.0717 0.0000 0.0000
0.0000 6.1294 -0.0027
-2.0359 -3.0637 6.5798
Sr Zn Ba
2 1 1
direct
0.0012 0.0008 0.0024 Sr
0.8082 0.3078 0.6164 Sr
0.4967 0.4979 0.9933 Zn
0.1939 0.6934 0.3878 Ba
```

---

No. 8
Density functional theory data (meta-GGA SCAN) for a crystal of NbMoOs3 relaxed with PBEsol.

Values from the calculation:
Total magnetization: 2.70 μB/f.u.
Raw total energy: -54.255 eV/atom
Space group: Pm-3m (221)

```
NbMoOs3
1.0
4.6284 0.0000 0.0000
0.0000 4.6284 0.0000
0.0000 0.0000 4.6284
Mo Os Nb
1 3 1
direct
0.5000 0.5000 0.5000 Mo
0.0000 0.5000 0.0000 Os
0.0000 0.0000 0.5000 Os
0.5000 0.0000 0.0000 Os
0.0000 0.0000 0.0000 Nb
```

---

What did we get for calculated volume? Answer: 23.2 23.1 16.1 20.6 14.2 13.3 41.0 19.8 Å³ per atom, in the order shown.